A plane-wave DFT calculation with GGA-PBE was carried out for a geometry-optimized Dy2MoWC3 structure.

abc: 5.918 5.918 5.701
angles: 107.01 107.01 33.24
Positions (direct):
C 0.728 0.728 0.257
C 0.000 0.000 0.498
C 0.270 0.270 0.740
Dy 0.386 0.386 0.179
Dy 0.614 0.614 0.822
Mo 0.851 0.851 0.628
W 0.151 0.151 0.375

DFT total energy = -8.986 eV/atom
calculated volume = 104.2 Å³/f.u.

A plane-wave DFT calculation with GGA-PBE was carried out for a geometry-optimized DyYMo2C3 structure.

abc: 5.914 5.914 5.701
angles: 106.90 106.90 33.38
Positions (direct):
C 0.272 0.272 0.242
C 0.728 0.728 0.759
C 0.000 0.000 0.999
Dy 0.387 0.387 0.679
Mo 0.850 0.850 0.125
Mo 0.150 0.150 0.875
Y 0.613 0.613 0.322

DFT total energy = -8.956 eV/atom
calculated volume = 104.5 Å³/f.u.

A plane-wave DFT calculation with GGA-PBE was carried out for a geometry-optimized DyZrMo2C3 structure.

abc: 5.894 5.894 5.575
angles: 108.48 108.48 32.59
Positions (direct):
C 0.271 0.271 0.255
C 0.738 0.738 0.755
C 0.997 0.997 0.985
Dy 0.613 0.613 0.318
Mo 0.853 0.853 0.138
Mo 0.149 0.149 0.867
Zr 0.379 0.379 0.681

DFT total energy = -9.295 eV/atom
calculated volume = 98.4 Å³/f.u.

A plane-wave DFT calculation with GGA-PBE was carried out for a geometry-optimized Dy2Ni2C3N structure.

abc: 3.499 3.499 7.373
angles: 90.00 90.00 90.00
Positions (direct):
C 0.000 0.000 0.341
C 0.500 0.500 0.660
C 0.500 0.500 0.849
Dy 0.500 0.500 0.172
Dy 0.000 0.000 0.834
N 0.000 0.000 0.153
Ni 0.500 0.000 0.495
Ni 0.000 0.500 0.495

DFT total energy = -7.493 eV/atom
calculated volume = 90.3 Å³/f.u.

A plane-wave DFT calculation with GGA-PBE was carried out for a geometry-optimized Sm2DyNi2C2N3 structure.

abc: 10.140 10.140 10.140
angles: 160.02 160.02 28.40
Positions (direct):
C 0.191 0.191 0.000
C 0.809 0.809 0.000
Dy 0.000 0.000 0.000
N 0.119 0.119 0.000
N 0.500 0.500 0.000
N 0.881 0.881 0.000
Ni 0.750 0.250 0.500
Ni 0.250 0.750 0.500
Sm 0.373 0.373 0.000
Sm 0.627 0.627 0.000

DFT total energy = -7.674 eV/atom
calculated volume = 121.7 Å³/f.u.

A plane-wave DFT calculation with GGA-PBE was carried out for a geometry-optimized TbDy2Ni2C2N3 structure.

abc: 10.085 10.085 10.085
angles: 160.22 160.22 28.12
Positions (direct):
C 0.191 0.191 0.000
C 0.809 0.809 0.000
Dy 0.374 0.374 0.000
Dy 0.626 0.626 0.000
N 0.119 0.119 0.000
N 0.500 0.500 0.000
N 0.881 0.881 0.000
Ni 0.750 0.250 0.500
Ni 0.250 0.750 0.500
Tb 0.000 0.000 0.000

DFT total energy = -7.706 eV/atom
calculated volume = 117.4 Å³/f.u.

A plane-wave DFT calculation with GGA-PBE was carried out for a geometry-optimized DyY2Ni2C2N3 structure.

abc: 10.080 10.080 10.080
angles: 160.21 160.21 28.13
Positions (direct):
C 0.191 0.191 0.000
C 0.809 0.809 0.000
Dy 0.000 0.000 0.000
N 0.119 0.119 0.000
N 0.500 0.500 0.000
N 0.881 0.881 0.000
Ni 0.750 0.250 0.500
Ni 0.250 0.750 0.500
Y 0.375 0.375 0.000
Y 0.625 0.625 0.000

DFT total energy = -8.071 eV/atom
calculated volume = 117.4 Å³/f.u.

A plane-wave DFT calculation with GGA-PBE was carried out for a geometry-optimized PrDyCN2O2 structure.

abc: 3.815 3.815 8.254
angles: 90.00 90.00 120.00
Positions (direct):
C 0.000 0.000 0.006
Dy 0.333 0.667 0.321
N 0.000 0.000 0.155
N 0.000 0.000 0.856
O 0.667 0.333 0.388
O 0.333 0.667 0.594
Pr 0.667 0.333 0.680

DFT total energy = -8.553 eV/atom
calculated volume = 104.0 Å³/f.u.

A plane-wave DFT calculation with GGA-PBE was carried out for a geometry-optimized Dy2SiCN2O4 structure.

abc: 6.266 6.461 6.505
angles: 85.49 72.37 72.89
Positions (direct):
C 0.565 0.174 0.308
C 0.435 0.826 0.692
Dy 0.544 0.675 0.218
Dy 0.064 0.237 0.335
Dy 0.936 0.763 0.665
Dy 0.456 0.325 0.782
N 0.472 0.058 0.247
N 0.647 0.299 0.373
N 0.353 0.701 0.627
N 0.528 0.942 0.753
O 0.900 0.778 0.008
O 0.286 0.511 0.111
O 0.111 0.874 0.308
O 0.853 0.610 0.379
O 0.147 0.390 0.621
O 0.889 0.126 0.692
O 0.714 0.489 0.889
O 0.100 0.222 0.992
Si 0.040 0.705 0.184
Si 0.960 0.295 0.816

DFT total energy = -8.392 eV/atom
calculated volume = 119.9 Å³/f.u.

A plane-wave DFT calculation with GGA-PBE was carried out for a geometry-optimized DyTmCN2O2 structure.

abc: 3.670 3.670 8.101
angles: 90.00 90.00 120.00
Positions (direct):
C 0.000 0.000 0.999
Dy 0.333 0.667 0.323
N 0.000 0.000 0.151
N 0.000 0.000 0.846
O 0.667 0.333 0.400
O 0.333 0.667 0.606
Tm 0.667 0.333 0.676

DFT total energy = -8.616 eV/atom
calculated volume = 94.5 Å³/f.u.

A plane-wave DFT calculation with GGA-PBE was carried out for a geometry-optimized RbDySiC4N8 structure.

abc: 6.714 6.714 6.714
angles: 103.66 103.66 121.85
Positions (direct):
C 0.895 0.427 0.075
C 0.573 0.648 0.469
C 0.180 0.105 0.531
C 0.352 0.820 0.925
Dy 0.750 0.250 0.500
N 0.509 0.929 0.118
N 0.983 0.456 0.278
N 0.608 0.491 0.420
N 0.296 0.017 0.473
N 0.544 0.822 0.527
N 0.071 0.188 0.580
N 0.178 0.704 0.722
N 0.812 0.392 0.882
Rb 0.000 0.000 0.000
Si 0.250 0.750 0.500

DFT total energy = -8.153 eV/atom
calculated volume = 224.6 Å³/f.u.

A plane-wave DFT calculation with GGA-PBE was carried out for a geometry-optimized DyNb3C2Se2 structure.

abc: 3.445 3.445 12.404
angles: 90.00 90.00 120.00
Positions (direct):
C 0.333 0.667 0.019
C 0.333 0.667 0.494
Dy 0.000 0.000 0.905
Nb 0.667 0.333 0.104
Nb 0.667 0.333 0.411
Nb 0.000 0.000 0.580
Se 0.000 0.000 0.256
Se 0.667 0.333 0.731

DFT total energy = -8.284 eV/atom
calculated volume = 127.5 Å³/f.u.

> Which value of DFT total energy does entry 9 give?

-8.392 eV/atom

Repeat the fourth record exactly.
A plane-wave DFT calculation with GGA-PBE was carried out for a geometry-optimized Dy2Ni2C3N structure.

abc: 3.499 3.499 7.373
angles: 90.00 90.00 90.00
Positions (direct):
C 0.000 0.000 0.341
C 0.500 0.500 0.660
C 0.500 0.500 0.849
Dy 0.500 0.500 0.172
Dy 0.000 0.000 0.834
N 0.000 0.000 0.153
Ni 0.500 0.000 0.495
Ni 0.000 0.500 0.495

DFT total energy = -7.493 eV/atom
calculated volume = 90.3 Å³/f.u.